[1]
Compound: ZrVI2
Source: Alexandria via LeMat-Bulk
Functional: PBE
Structure: optimized geometry

```
ZrVI2
1.0
0.000 3.561 3.561
3.561 0.000 3.561
3.561 3.561 0.000
Zr V I
1 1 2
Cartesian
0.000 0.000 0.000
3.561 3.561 3.561
1.780 1.780 1.780
5.341 5.341 5.341
```

Calculated values
The value obtained for the calculated total energy is -4.916 eV/atom. The volume comes out at 22.57 Å³ per atom.

=====

[2]
Compound: MgInFeBi2
Source: Alexandria via LeMat-Bulk
Functional: PBE
Structure: optimized geometry

```
MgInFeBi2
1.0
5.050 0.000 0.000
0.000 5.050 0.000
0.000 0.000 4.908
Mg In Fe Bi
1 1 1 2
Cartesian
0.000 0.000 0.000
2.525 2.525 0.000
0.000 0.000 2.454
0.000 2.525 2.454
2.525 0.000 2.454
```

Calculated values
The value obtained for the calculated total energy is -3.788 eV/atom. The volume comes out at 25.03 Å³ per atom. As for the energy of formation: 0.32 eV per atom.